Density functional theory data (PBE-GGA) for crystalline Ca3Cr at its relaxed geometry.

Properties
Its space group is P6_3/mmc (194). The crystal system is hexagonal. For the density of states at the Fermi level, the calculation gives 0.79 states/eV/atom. For the formation enthalpy at 0 K, the calculation gives 150 kJ/mol of formula units.

```
Ca3Cr
1.0
-5.9525 -4.1289 -0.8327
5.5062 -0.5410 -4.7500
2.4235 -4.1560 3.2827
Ca Cr
6 2
direct
0.6550 0.8275 0.7500
0.8275 0.6550 0.2500
0.1725 0.8275 0.7500
0.1725 0.3450 0.7500
0.3450 0.1725 0.2500
0.8275 0.1725 0.2500
0.3333 0.6667 0.2500
0.6667 0.3333 0.7500
```

Density functional theory data (PBE-GGA) for crystalline SiAg2BS4 at its relaxed geometry.

Properties
Its space group is P1 (1). The crystal system is triclinic. For the density of states at the Fermi level, the calculation gives 0.35 states/eV/atom. The energy relative to the elements, uncorrected is -160 meV per atom.

```
SiAg2BS4
1.0
-4.6584 -1.9415 -2.6743
-2.3797 -1.4745 4.5095
0.7606 5.8170 -0.4704
B Ag Si S
1 2 1 4
direct
0.9569 0.4622 0.9449
0.5140 0.0312 0.0397
0.2975 0.2336 0.4793
0.7137 0.7747 0.4457
0.6776 0.6059 0.7335
0.8746 0.4140 0.2152
0.0613 0.1338 0.7440
0.2915 0.7316 0.1717
```

Density functional theory data (PBE-GGA) for crystalline NbAgGeO5 at its relaxed geometry.

Properties
Its space group is C2/c (15). The crystal system is monoclinic. For the density of states at the Fermi level, the calculation gives 0.00 states/eV/atom. The energy relative to the elements, uncorrected is -1720 meV per atom.

```
NbAgGeO5
1.0
-1.6199 -3.8640 -3.9767
2.7771 -3.1567 3.9613
-6.4439 2.2857 3.3658
Nb Ge O Ag
2 2 10 2
direct
0.0000 0.0000 0.5000
0.0000 0.0000 0.0000
0.3187 0.6813 0.7500
0.6813 0.3187 0.2500
0.8799 0.2940 0.1090
0.1201 0.7060 0.8910
0.7060 0.1201 0.3910
0.6387 0.7596 0.9022
0.0609 0.9391 0.2500
0.9391 0.0609 0.7500
0.3613 0.2404 0.0978
0.2940 0.8799 0.6090
0.7596 0.6387 0.4022
0.2404 0.3613 0.5978
0.3255 0.6745 0.2500
0.6745 0.3255 0.7500
```

Density functional theory data (PBE-GGA) for crystalline V2TcS at its relaxed geometry.

Properties
Its space group is R-3m (166). The crystal system is trigonal. For the density of states at the Fermi level, the calculation gives 1.35 states/eV/atom. The energy relative to the elements, uncorrected is -178 meV per atom.

```
V2TcS
1.0
3.0153 0.0000 0.0000
1.5077 2.6114 0.0000
1.5077 0.8705 7.1814
S Tc V
1 1 2
direct
0.0000 0.0000 0.0000
0.5000 0.5000 0.5000
0.7449 0.7449 0.7652
0.2551 0.2551 0.2348
```

Density functional theory data (PBE-GGA) for crystalline Er5TcBi2 at its relaxed geometry.

Properties
Its space group is Cmcm (63). The crystal system is orthorhombic. For the density of states at the Fermi level, the calculation gives 0.80 states/eV/atom. For the formation enthalpy at 0 K, the calculation gives -47 kJ/mol of formula units.

```
Er5TcBi2
1.0
5.4980 0.0000 0.0000
-2.7490 8.0782 0.0000
0.0000 0.0000 13.8215
Bi Er Tc
4 10 2
direct
0.8588 0.7175 0.0876
0.1412 0.2825 0.9124
0.1412 0.2825 0.5876
0.8588 0.7175 0.4124
0.9449 0.8898 0.8821
0.7265 0.4530 0.9018
0.6994 0.3989 0.2500
0.2735 0.5470 0.0982
0.2735 0.5470 0.4018
0.7265 0.4530 0.5982
0.0551 0.1102 0.3821
0.3006 0.6011 0.7500
0.9449 0.8898 0.6179
0.0551 0.1102 0.1179
0.1679 0.3358 0.2500
0.8321 0.6642 0.7500
```

Density functional theory data (PBE-GGA) for crystalline KZrCu at its relaxed geometry.

Properties
Its space group is F-43m (216). The crystal system is cubic. For the density of states at the Fermi level, the calculation gives 1.48 states/eV/atom. As for the relative energy among the computed polymorphs: 695.0 meV/atom. For the formation enthalpy at 0 K, the calculation gives 328 kJ/mol of formula units.

```
KZrCu
1.0
4.8666 0.0000 0.0000
2.4333 4.2146 0.0000
2.4333 1.4049 3.9736
Zr K Cu
1 1 1
direct
0.5000 0.5000 0.5000
0.0000 0.0000 0.0000
0.7500 0.7500 0.7500
```

Density functional theory data (PBE-GGA) for crystalline Mg2TaMo at its relaxed geometry.

Properties
Its space group is Cm (8). The crystal system is monoclinic. For the density of states at the Fermi level, the calculation gives 0.84 states/eV/atom. As for the relative energy among the computed polymorphs: 168.6 meV/atom. For the formation enthalpy at 0 K, the calculation gives 123 kJ/mol of formula units.

```
Mg2TaMo
1.0
5.0040 0.0111 -0.0483
4.2442 2.6507 -0.0483
0.3520 0.1013 5.5192
Ta Mg Mo
1 2 1
direct
0.2514 0.2514 0.2716
0.7514 0.7514 0.7515
0.9992 0.9992 0.9960
0.4979 0.4979 0.4809
```

Density functional theory data (PBE-GGA) for crystalline Sc2HgO at its relaxed geometry.

Properties
Its space group is I-42d (122). The crystal system is tetragonal. For the density of states at the Fermi level, the calculation gives 0.00 states/eV/atom. As for the relative energy among the computed polymorphs: 92.6 meV/atom. The energy relative to the elements, uncorrected is -1548 meV per atom.

```
Sc2HgO
1.0
-5.1239 -2.8998 -2.4314
0.7185 -4.7637 4.1673
-4.4183 -1.9963 3.3481
O Hg Sc
2 2 4
direct
0.2500 0.7500 0.5000
0.5000 0.5000 0.0000
0.7500 0.2500 0.5000
0.0000 0.0000 0.0000
0.5180 0.1250 0.2500
0.2320 0.6250 0.2500
0.3750 0.4820 0.7500
0.8750 0.7680 0.7500
```

Density functional theory data (PBE-GGA) for crystalline K2Cd15Au2 at its relaxed geometry.

Properties
Its space group is R-3m (166). The crystal system is trigonal. For the density of states at the Fermi level, the calculation gives 0.38 states/eV/atom. For the formation enthalpy at 0 K, the calculation gives -119 kJ/mol of formula units.

```
K2Cd15Au2
1.0
-3.5520 4.1691 -5.5405
-6.9195 -3.5577 0.3983
-3.4597 5.1388 4.7241
Cd Au K
15 2 2
direct
0.0000 0.2901 0.7099
0.6484 0.1491 0.6484
0.3516 0.8509 0.3516
0.0000 0.7099 0.2901
0.3516 0.3516 0.8509
0.7099 0.0000 0.2901
0.2901 0.0000 0.7099
0.8509 0.3516 0.3516
0.2901 0.7099 0.0000
0.6484 0.6484 0.1491
0.5000 0.0000 0.0000
0.7099 0.2901 0.0000
0.1491 0.6484 0.6484
0.0000 0.0000 0.5000
0.0000 0.5000 0.0000
0.1039 0.1039 0.1039
0.8961 0.8961 0.8961
0.6633 0.6633 0.6633
0.3367 0.3367 0.3367
```

Density functional theory data (PBE-GGA) for crystalline GaCoSe2 at its relaxed geometry.

Properties
Its space group is P1 (1). The crystal system is triclinic. For the density of states at the Fermi level, the calculation gives 0.47 states/eV/atom. The energy relative to the elements, uncorrected is -304 meV per atom.

```
GaCoSe2
1.0
-3.0903 -0.8688 1.9540
-2.7377 -3.1363 -5.6321
1.1060 -7.4886 2.0440
Ga Co Se
2 2 4
direct
0.7468 0.0197 0.9093
0.0864 0.1324 0.2250
0.5000 0.2398 0.3948
0.8994 0.0882 0.5988
0.9495 0.4090 0.4909
0.6651 0.3324 0.0630
0.1589 0.8402 0.0888
0.4225 0.9292 0.5567
```

Density functional theory data (PBE-GGA) for crystalline InTe2Cl at its relaxed geometry.

Properties
Its space group is Imm2 (44). The crystal system is orthorhombic. As for the relative energy among the computed polymorphs: 93.2 meV/atom. The energy relative to the elements, uncorrected is -277 meV per atom.

```
InTe2Cl
1.0
-3.0712 -5.2831 -2.5351
4.0844 -5.1879 0.4155
-3.3595 4.4542 3.5558
Te In Cl
2 1 1
direct
0.0821 0.0821 0.0000
0.2666 0.7666 0.5000
0.6732 0.1732 0.5000
0.4780 0.4780 0.0000
```

Density functional theory data (PBE-GGA) for crystalline Re5P at its relaxed geometry.

Properties
Its space group is F-43m (216). The crystal system is cubic. For the density of states at the Fermi level, the calculation gives 1.24 states/eV/atom. As for the relative energy among the computed polymorphs: 867.3 meV/atom. For the formation enthalpy at 0 K, the calculation gives 508 kJ/mol of formula units.

```
Re5P
1.0
-1.5161 -4.6753 -1.5457
-3.9001 -0.4722 -3.3336
0.9131 -1.5376 -4.8320
Re P
5 1
direct
0.1232 0.6256 0.6256
0.6256 0.6256 0.1232
0.2500 0.2500 0.2500
0.6256 0.6256 0.6256
0.6256 0.1232 0.6256
0.0000 0.0000 0.0000
```

no.,V (Å³ per atom),energy (eV per atom)
1,33.52,-3.5193
2,18.56,-4.4494
3,13.89,-7.0107
4,14.14,-8.3611
5,38.37,-5.1792
6,27.17,-3.4465
7,18.25,-6.1503
8,19.27,-6.0291
9,24.35,-1.2478
10,24.69,-4.5796
11,36.13,-2.9938
12,16.12,-10.3970